Entry 1:
TbMgGe: relaxed, PBE.

Computed properties:
The formation energy from the elements is -469 meV/atom.

Lattice parameters (Å, degrees): 4.527 4.527 3.802 90.00 90.00 120.00
Fractional positions:
Tb1 0.000 0.000 0.000
Mg1 0.333 0.667 0.502
Ge1 0.667 0.333 0.489

=====

Entry 2:
Ho4Ni3Au: relaxed, PBE.

Computed properties:
The formation energy from the elements is -553 meV/atom.

Lattice parameters (Å, degrees): 3.711 4.407 10.173 90.00 90.00 90.00
Fractional positions:
Ho1 0.000 0.000 0.000
Ho2 0.000 0.500 0.265
Ho3 0.500 0.000 0.476
Ho4 0.500 0.500 0.773
Ni1 0.000 0.500 0.544
Ni2 0.500 0.000 0.201
Ni3 0.500 0.500 0.056
Au1 0.000 0.000 0.705

=====

Entry 3:
YHg2I: relaxed, PBE.

Computed properties:
The offset from the most stable computed form comes out at 0.0874 eV per atom. The value obtained for the uncorrected formation energy is -1.70 eV/f.u.

Lattice parameters (Å, degrees): 5.917 5.917 5.905 113.13 113.13 38.70
Fractional positions:
Y1 0.000 0.000 0.000
Hg1 0.276 0.276 0.586
Hg2 0.519 0.519 0.426
I1 0.723 0.723 0.040

=====

Entry 4:
GaMo3Au: relaxed, PBE.

Computed properties:
The formation energy from the elements is 1467 meV/atom. The offset from the most stable computed form comes out at 0.0000 eV per atom.

Lattice parameters (Å, degrees): 4.574 4.574 4.574 90.00 90.00 90.00
Fractional positions:
Ga1 0.000 0.000 0.000
Mo1 0.000 0.000 0.500
Mo2 0.000 0.500 0.000
Mo3 0.500 0.000 0.000
Au1 0.500 0.500 0.500

=====

Entry 5:
Ba5Pa3As8: relaxed, PBE.

Computed properties:
The formation energy from the elements is -1096 meV/atom.

Lattice parameters (Å, degrees): 9.050 9.050 9.050 58.71 58.71 58.71
Fractional positions:
Ba1 0.000 0.000 0.000
Ba2 0.000 0.500 0.500
Ba3 0.500 0.000 0.500
Ba4 0.500 0.500 0.000
Ba5 0.500 0.500 0.500
Pa1 0.000 0.000 0.500
Pa2 0.000 0.500 0.000
Pa3 0.500 0.000 0.000
As1 0.204 0.751 0.751
As2 0.234 0.234 0.234
As3 0.249 0.249 0.796
As4 0.249 0.796 0.249
As5 0.751 0.204 0.751
As6 0.751 0.751 0.204
As7 0.766 0.766 0.766
As8 0.796 0.249 0.249

=====

Entry 6:
SiHg2Te: relaxed, PBE.

Computed properties:
The offset from the most stable computed form comes out at 0.4223 eV per atom. The value obtained for the uncorrected formation energy is 2.15 eV/f.u.

Lattice parameters (Å, degrees): 5.181 5.181 5.181 60.00 60.00 60.00
Fractional positions:
Si1 0.000 0.000 0.000
Hg1 0.250 0.250 0.250
Hg2 0.750 0.750 0.750
Te1 0.500 0.500 0.500